# 1
DFT (PBE-GGA) results for a relaxed LiBi crystal.

Output
Energy of formation: 0.000 eV/atom

Unit cell a=4.9338 b=4.9339 c=5.4802 alpha=90.00 beta=90.00 gamma=120.00
Closest atoms and distances in Å follow each position.
Fractional coordinates of all 4 atoms:
Bi 0.3333 0.6667 0.7500  5 Li 2.74-2.85
Bi 0.6667 0.3333 0.2500  5 Li 2.74-2.85
Li 0.6667 0.3333 0.7500  5 Bi 2.74-2.85
Li 0.3333 0.6667 0.2500  5 Bi 2.74-2.85

---

# 2
DFT (PBE-GGA) results for a relaxed LiBi crystal.

Output
Energy of formation: -0.091 eV/atom

Unit cell a=5.8719 b=5.8719 c=5.8457 alpha=90.00 beta=90.00 gamma=90.00
Closest atoms and distances in Å follow each position.
Fractional coordinates of all 8 atoms:
Bi 0.3110 0.3110 0.0000  6 Li 2.92-3.06, 1 Bi 3.14
Li 0.6980 0.6980 0.5000  6 Bi 2.92-3.06
Li 0.1980 0.8020 0.0000  6 Bi 2.92-3.06
Bi 0.1890 0.8110 0.5000  6 Li 2.92-3.06, 1 Bi 3.14
Bi 0.8110 0.1890 0.5000  6 Li 2.92-3.06, 1 Bi 3.14
Li 0.8020 0.1980 0.0000  6 Bi 2.92-3.06
Bi 0.6890 0.6890 0.0000  6 Li 2.92-3.06, 1 Bi 3.14
Li 0.3020 0.3020 0.5000  6 Bi 2.92-3.06

---

# 3
DFT (PBE-GGA) results for a relaxed LiBi3 crystal.

Output
Energy of formation: -0.039 eV/atom

Unit cell a=5.5050 b=5.5050 c=5.5050 alpha=60.00 beta=60.00 gamma=60.00
Closest atoms and distances in Å follow each position.
Fractional coordinates of all 4 atoms:
Bi 0.2500 0.2500 0.2500  4 Li 3.37, 4 Bi 3.37
Li 0.5000 0.5000 0.5000  8 Bi 3.37
Bi 0.7500 0.7500 0.7500  4 Bi 3.37, 4 Li 3.37
Bi 0.0000 0.0000 0.0000  8 Bi 3.37

---

# 4
DFT (PBE-GGA) results for a relaxed Li2Bi crystal.

Output
Energy of formation: -0.481 eV/atom

Unit cell a=3.4337 b=4.2832 c=5.1276 alpha=65.32 beta=70.42 gamma=90.00
Closest atoms and distances in Å follow each position.
Fractional coordinates of all 3 atoms:
Li 0.6617 0.6633 0.6740  5 Li 2.82-3.14, 5 Bi 2.92-3.09
Bi 0.0000 0.0000 0.0000  10 Li 2.92-3.09
Li 0.3383 0.3367 0.3260  5 Li 2.82-3.14, 5 Bi 2.92-3.09

---

# 5
DFT (PBE-GGA) results for a relaxed Li4Bi crystal.

Output
Energy of formation: -0.292 eV/atom

Unit cell a=5.6134 b=4.8870 c=8.2521 alpha=110.40 beta=90.00 gamma=90.00
Closest atoms and distances in Å follow each position.
Fractional coordinates of all 10 atoms:
Li 0.7512 0.5000 0.5000  4 Li 2.79-3.02, 2 Bi 2.82
Li 0.5000 0.8966 0.8197  3 Li 2.79-3.02, 1 Bi 2.85
Li 0.7488 0.5000 0.0000  4 Li 2.79-3.02, 2 Bi 2.82
Li 0.0000 0.8966 0.3197  3 Li 2.79-3.02, 1 Bi 2.85
Bi 0.0000 0.0000 0.0000  10 Li 2.82-3.13
Li 0.2488 0.5000 0.5000  4 Li 2.79-3.02, 2 Bi 2.82
Bi 0.5000 0.0000 0.5000  10 Li 2.82-3.13
Li 0.5000 0.1034 0.1803  3 Li 2.79-3.02, 1 Bi 2.85
Li 0.0000 0.1034 0.6803  3 Li 2.79-3.02, 1 Bi 2.85
Li 0.2512 0.5000 0.0000  4 Li 2.79-3.02, 2 Bi 2.82

---

# 6
DFT (PBE-GGA) results for a relaxed Li5Bi crystal.

Output
Energy of formation: -0.344 eV/atom

Unit cell a=4.7055 b=4.7076 c=5.9164 alpha=90.00 beta=90.00 gamma=119.99
Closest atoms and distances in Å follow each position.
Fractional coordinates of all 6 atoms:
Li 0.9723 0.9445 0.4444  2 Bi 2.96, 12 Li 3.06-3.19
Li 0.6393 0.2787 0.7265  4 Li 2.73-2.83, 3 Bi 3.00-3.01
Li 0.3062 0.6124 0.6837  4 Li 2.73-2.83
Li 0.3052 0.6103 0.1624  4 Li 2.73-2.83, 3 Bi 3.01
Li 0.6382 0.2765 0.2051  4 Li 2.73-2.83
Bi 0.9721 0.9443 0.9444  14 Li 2.96-3.13

---

| no. | ΔE to the lowest computed polymorph (eV per atom) |
| --- | --- |
| 1 | 0.3794 |
| 2 | 0.2889 |
| 3 | 0.0730 |
| 4 | 0.0000 |
| 5 | 0.0866 |
| 6 | 0.0000 |